RbTlGa2F8: optimized geometry, PBE-GGA.

Output
As for the total energy: -4.590 eV/atom. Its total magnetization is 0.0000 μB/atom.

Cell and atoms, written as POSCAR:
```
RbTlGa2F8
1.0
-3.943 4.287 -1.112
-4.151 -4.096 -1.076
2.381 -0.027 7.262
Rb Tl Ga F
1 1 2 8
Cartesian
-2.804 2.178 2.528
0.000 0.000 0.000
-4.047 0.095 -1.094
-2.908 -2.014 2.546
-5.732 -0.184 -0.506
-2.885 0.397 0.256
-3.454 -0.525 3.412
-2.881 -3.482 3.600
-1.221 -1.724 1.968
-4.077 -2.326 1.204
-1.128 -1.416 5.290
-1.680 1.531 5.108
```